Compound: Li2HfMo
Source: Alexandria via LeMat-Bulk
Functional: PBE
Structure: relaxed

Lattice parameters (Å, degrees): 4.4378 4.4378 4.4378 60.00 60.00 60.00
Fractional positions:
1 Mo 0.0000 0.0000 0.0000
2 Hf 0.5000 0.5000 0.5000
3 Li 0.2500 0.2500 0.2500
4 Li 0.7500 0.7500 0.7500

Results
- Crystal system: cubic
- Volume: 61.8 Å³ per cell
- ΔE to the lowest computed polymorph: 8 meV/atom


Compound: Li3Hf2MoN6
Source: Alexandria via LeMat-Bulk
Functional: PBE
Structure: relaxed

Lattice parameters (Å, degrees): 5.4542 5.4542 5.3564 99.58 99.58 120.05
Fractional positions:
1 Li 0.1574 0.8426 0.5000
2 Li 0.8426 0.1574 0.5000
3 Li 0.5000 0.5000 0.5000
4 Hf 0.3332 0.6668 0.0000
5 Hf 0.6668 0.3332 0.0000
6 Mo 0.0000 0.0000 0.0000
7 N 0.9271 0.6090 0.7782
8 N 0.7534 0.7534 0.2220
9 N 0.0729 0.3910 0.2218
10 N 0.6090 0.9271 0.7782
11 N 0.2466 0.2466 0.7780
12 N 0.3910 0.0729 0.2218

Results
- Crystal system: monoclinic
- Volume: 130.1 Å³ per cell
- Uncorrected formation energy: -0.874 eV per atom


Compound: LiHfNb2Mo
Source: Alexandria via LeMat-Bulk
Functional: PBE
Structure: relaxed

Lattice parameters (Å, degrees): 4.8379 5.1360 4.8379 90.00 90.00 90.00
Fractional positions:
1 Mo 0.0000 0.0000 0.0000
2 Hf 0.0000 0.5000 0.0000
3 Nb 0.0000 0.0000 0.5000
4 Nb 0.5000 0.0000 0.0000
5 Li 0.5000 0.5000 0.5000

Results
- Crystal system: tetragonal
- Volume: 120.2 Å³ per cell
- VASP energy: -7.51 eV per atom


Compound: LiHf2NiMo
Source: Alexandria via LeMat-Bulk
Functional: PBE
Structure: relaxed

Lattice parameters (Å, degrees): 4.7396 3.6895 4.7396 90.00 90.00 90.00
Fractional positions:
1 Ni 0.0000 0.5000 0.0000
2 Mo 0.5000 0.5000 0.5000
3 Hf 0.0000 0.0000 0.5000
4 Hf 0.5000 0.0000 0.0000
5 Li 0.0000 0.0000 0.0000

Results
- Crystal system: tetragonal
- Volume: 82.9 Å³ per cell
- VASP energy: -7.00 eV per atom


Which of these has the lowest volume? Li2HfMo